#one
Below is crystalline ReB4Au at its relaxed geometry, with properties calculated at the PBE-GGA level.

Calculated values
Spin magnetization ... 0.00 μB per formula unit
Crystal system ... hexagonal

Cell: 2.8968 2.8968 9.6536 Å, 90.00 90.00 120.00°
With the nearest neighbours (Å) after each atom.
Fractional positions:
1 Re 0.0000 0.0000 0.0000  12 B 2.39
2 Au 0.0000 0.0000 0.5000  6 Au 2.90
3 B 0.3333 0.6667 0.1768  3 B 1.67
4 B 0.6667 0.3333 0.1768  3 B 1.67
5 B 0.6667 0.3333 0.8232  3 B 1.67
6 B 0.3333 0.6667 0.8232  3 B 1.67

=====

#two
Below is crystalline ReB4Au at its relaxed geometry, with properties calculated at the PBE-GGA level.

Calculated values
Spin magnetization ... 0.00 μB per formula unit
Crystal system ... orthorhombic

Cell: 4.7547 4.7547 4.7547 Å, 142.50 115.01 77.52°
With the nearest neighbours (Å) after each atom.
Fractional positions:
1 B 0.9052 0.2347 0.6705  3 B 1.74-1.75
2 B 0.0948 0.7653 0.3295  3 B 1.74-1.75
3 Re 0.5000 0.5000 0.0000  12 B 2.47-2.59
4 Au 0.0000 0.0000 0.0000  12 B 2.42-2.64
5 B 0.4358 0.7653 0.6705  3 B 1.74-1.75
6 B 0.5642 0.2347 0.3295  3 B 1.74-1.75

=====

Most stable structure, least stable structure: #one, #two.

=====

#one
Below is crystalline ReTcBAu at its relaxed geometry, with properties calculated at the PBE-GGA level.

Calculated values
Spin magnetization ... 0.00 μB per formula unit
Crystal system ... cubic

Cell: 4.2518 4.2518 4.2518 Å, 60.00 60.00 60.00°
With the nearest neighbours (Å) after each atom.
Fractional positions:
1 Au 0.7500 0.7500 0.7500  4 Re 2.60, 4 Tc 2.60
2 Tc 0.0000 0.0000 0.0000  4 Au 2.60, 4 B 2.60
3 Re 0.5000 0.5000 0.5000  4 B 2.60, 4 Au 2.60
4 B 0.2500 0.2500 0.2500  4 Re 2.60, 4 Tc 2.60

=====

#two
Below is crystalline ReTcBAu at its relaxed geometry, with properties calculated at the PBE-GGA level.

Calculated values
Spin magnetization ... 0.00 μB per formula unit
Crystal system ... cubic

Cell: 4.2877 4.2877 4.2877 Å, 60.00 60.00 60.00°
With the nearest neighbours (Å) after each atom.
Fractional positions:
1 Re 0.2500 0.2500 0.2500  4 B 2.63, 4 Tc 2.63
2 B 0.5000 0.5000 0.5000  4 Re 2.63, 4 Au 2.63
3 Tc 0.0000 0.0000 0.0000  4 Au 2.63, 4 Re 2.63
4 Au 0.7500 0.7500 0.7500  4 Tc 2.63, 4 B 2.63

=====

Most stable structure, least stable structure: #one, #two.

=====

#one
Below is crystalline ScB4Au at its relaxed geometry, with properties calculated at the PBE-GGA level.

Calculated values
Spin magnetization ... 0.00 μB per formula unit
Crystal system ... orthorhombic

Cell: 4.8720 4.8720 4.8720 Å, 142.35 116.02 76.67°
With the nearest neighbours (Å) after each atom.
Fractional positions:
1 B 0.9558 0.2723 0.6835  3 B 1.75-1.89
2 B 0.4111 0.7277 0.6835  3 B 1.75-1.89
3 Au 0.5000 0.5000 0.0000  4 B 2.39
4 B 0.0442 0.7277 0.3165  3 B 1.75-1.89
5 Sc 0.0000 0.0000 0.0000  12 B 2.53-2.65
6 B 0.5889 0.2723 0.3165  3 B 1.75-1.89

=====

#two
Below is crystalline ScB4Au at its relaxed geometry, with properties calculated at the PBE-GGA level.

Calculated values
Spin magnetization ... 0.01 μB per formula unit
Crystal system ... hexagonal

Cell: 3.1533 3.1533 7.0219 Å, 90.00 90.00 120.00°
With the nearest neighbours (Å) after each atom.
Fractional positions:
1 B 0.6667 0.3333 0.7356  3 B 1.82
2 B 0.3333 0.6667 0.7356  3 B 1.82
3 B 0.6667 0.3333 0.2644  3 B 1.82
4 Sc 0.0000 0.0000 0.5000  12 B 2.46
5 Au 0.0000 0.0000 0.0000  12 B 2.60
6 B 0.3333 0.6667 0.2644  3 B 1.82

=====

Most stable structure, least stable structure: #one, #two.

=====

#one
Below is crystalline SiB4Au at its relaxed geometry, with properties calculated at the PBE-GGA level.

Calculated values
Crystal system ... orthorhombic

Cell: 4.7253 4.7253 4.7253 Å, 141.85 111.03 81.65°
With the nearest neighbours (Å) after each atom.
Fractional positions:
1 B 0.5672 0.2370 0.3302  3 B 1.78-1.82
2 B 0.9068 0.2370 0.6698  3 B 1.78-1.82
3 Si 0.5000 0.5000 0.0000  12 B 2.47-2.58
4 B 0.4328 0.7630 0.6698  3 B 1.78-1.82
5 Au 0.0000 0.0000 0.0000  12 B 2.45-2.60
6 B 0.0932 0.7630 0.3302  3 B 1.78-1.82

=====

#two
Below is crystalline SiB4Au at its relaxed geometry, with properties calculated at the PBE-GGA level.

Calculated values
Crystal system ... hexagonal

Cell: 2.9821 2.9821 7.6689 Å, 90.00 90.00 120.00°
With the nearest neighbours (Å) after each atom.
Fractional positions:
1 B 0.3333 0.6667 0.7952  3 B 1.72
2 Au 0.0000 0.0000 0.5000  12 B 2.84, 6 Au 2.98
3 B 0.6667 0.3333 0.2048  3 B 1.72
4 Si 0.0000 0.0000 0.0000  12 B 2.33
5 B 0.6667 0.3333 0.7952  3 B 1.72
6 B 0.3333 0.6667 0.2048  3 B 1.72

=====

Most stable structure, least stable structure: #two, #one.

=====

#one
Below is crystalline SmBAu at its relaxed geometry, with properties calculated at the PBE-GGA level.

Calculated values
Spin magnetization ... 0.00 μB per formula unit
Crystal system ... cubic

Cell: 4.3346 4.3346 4.3346 Å, 60.00 60.00 60.00°
With the nearest neighbours (Å) after each atom.
Fractional positions:
1 Sm 0.7500 0.7500 0.7500  4 B 2.65
2 B 0.0000 0.0000 0.0000  4 Sm 2.65, 4 Au 2.65
3 Au 0.2500 0.2500 0.2500  4 B 2.65

=====

#two
Below is crystalline SmBAu at its relaxed geometry, with properties calculated at the PBE-GGA level.

Calculated values
Spin magnetization ... 0.06 μB per formula unit
Crystal system ... cubic

Cell: 4.6267 4.6267 4.6267 Å, 60.00 60.00 60.00°
With the nearest neighbours (Å) after each atom.
Fractional positions:
1 Sm 0.0000 0.0000 0.0000  4 Au 2.83, 4 B 2.83
2 Au 0.2500 0.2500 0.2500  4 Sm 2.83
3 B 0.7500 0.7500 0.7500  4 Sm 2.83

=====

Most stable structure, least stable structure: #one, #two.

=====

#one
Below is crystalline SrB4Au at its relaxed geometry, with properties calculated at the PBE-GGA level.

Calculated values
Crystal system ... orthorhombic

Cell: 5.4210 5.4210 5.4210 Å, 146.17 120.65 70.09°
With the nearest neighbours (Å) after each atom.
Fractional positions:
1 B 0.0711 0.7570 0.3141  2 B 1.73
2 Au 0.0000 0.0000 0.0000  12 B 2.74-2.95
3 Sr 0.5000 0.5000 0.0000  12 B 2.84-2.85, 4 Au 3.11, 2 Sr 3.15
4 B 0.4429 0.7570 0.6859  2 B 1.73
5 B 0.9289 0.2430 0.6859  2 B 1.73
6 B 0.5571 0.2430 0.3141  2 B 1.73

=====

#two
Below is crystalline SrB4Au at its relaxed geometry, with properties calculated at the PBE-GGA level.

Calculated values
Crystal system ... hexagonal

Cell: 3.2270 3.2270 7.7811 Å, 90.00 90.00 120.00°
With the nearest neighbours (Å) after each atom.
Fractional positions:
1 B 0.6667 0.3333 0.2257  3 B 1.86
2 B 0.3333 0.6667 0.7743  3 B 1.86
3 Sr 0.0000 0.0000 0.5000  12 B 2.83
4 B 0.3333 0.6667 0.2257  3 B 1.86
5 B 0.6667 0.3333 0.7743  3 B 1.86
6 Au 0.0000 0.0000 0.0000  12 B 2.56

=====

Most stable structure, least stable structure: #one, #two.